The following is a DFT calculation (PBE with a Hubbard U) of NaCoAsO4 after structural relaxation.

Output
M_tot	0.435	μB/atom
DFT total energy	-80.2	eV for the cell shown

```
NaCoAsO4
1.0
5.388 0.000 0.000
0.000 5.663 0.000
-1.553 0.000 6.248
Na Co As O
2 2 2 8
direct
0.221 0.250 0.431
0.779 0.750 0.569
0.304 0.250 0.954
0.696 0.750 0.046
0.227 0.750 0.163
0.773 0.250 0.837
0.018 0.750 0.916
0.019 0.750 0.327
0.447 0.518 0.199
0.447 0.982 0.199
0.553 0.018 0.801
0.553 0.482 0.801
0.981 0.250 0.673
0.982 0.250 0.084
```